1.
Density functional theory data (PBE) for crystalline RhW2Cl at its relaxed geometry.

Properties
Spin magnetization in μB per cell: 0.00
Formation energy without anion corrections in eV/atom: 0.7080
Raw total energy in eV per atom: -8.07
Fermi-level density of states in states/eV/f.u.: 3.27
Calculated volume in Å³/cell: 122.8

Cell lengths 2.925, 4.553, 9.219 Å; angles 90.00, 90.00, 90.00 degrees
Space group Immm (No. 71)
Symmetry-distinct sites (fractional):
Rh  0.000  0.000  0.000 [2 per cell]
W  0.000  0.500  0.228 [4 per cell]
Cl  0.000  0.000  0.500 [2 per cell]

---

2.
Density functional theory data (PBE) for crystalline PmHoLuGa at its relaxed geometry.

Properties
Energy of formation from the pure elements in kJ/mol of formula units: -41.6
Spin magnetization in μB per cell: 0.16
Raw total energy in eV per atom: -4.33
Fermi-level density of states in states/eV/f.u.: 6.46
Calculated volume in Å³/cell: 425.9

Cell lengths 7.524, 7.524, 7.524 Å; angles 90.00, 90.00, 90.00 degrees
Space group F-43m (No. 216)
Symmetry-distinct sites (fractional):
Pm  0.000  0.000  0.000 [4 per cell]
Ho  0.000  0.000  0.500 [4 per cell]
Lu  0.250  0.250  0.250 [4 per cell]
Ga  0.250  0.250  0.750 [4 per cell]